1.
Computed, not measured: an optimized crystal structure of CsHOF2 at the GGA-PBE level of DFT.

The structure in CIF format:
```
data_CsHOF2
_chemical_formula_sum 'Cs1 H1 O1 F2'
_cell_length_a 4.9655
_cell_length_b 4.9655
_cell_length_c 4.2653
_cell_angle_alpha 90.00
_cell_angle_beta 90.00
_cell_angle_gamma 90.00
_symmetry_space_group_name_H-M 'P 4/m m m'
_symmetry_Int_Tables_number 123
_symmetry_space_group_name_Hall '-P 4 2'
loop_
_atom_site_label
_atom_site_fract_x
_atom_site_fract_y
_atom_site_fract_z
Cs1 0.0000 0.0000 0.0000
H1 0.5000 0.5000 0.5000
O1 0.0000 0.0000 0.5000
F1 0.0000 0.5000 0.0000
```

=====

2.
Computed, not measured: an optimized crystal structure of CsPH3O4F at the GGA-PBE level of DFT.

The structure in CIF format:
```
data_CsPH3O4F
_chemical_formula_sum 'Cs8 P8 H24 O32 F8'
_cell_length_a 7.9212
_cell_length_b 9.5227
_cell_length_c 15.5826
_cell_angle_alpha 90.00
_cell_angle_beta 90.00
_cell_angle_gamma 90.00
_symmetry_space_group_name_H-M 'P b c a'
_symmetry_Int_Tables_number 61
_symmetry_space_group_name_Hall '-P 2ac 2ab'
loop_
_atom_site_label
_atom_site_fract_x
_atom_site_fract_y
_atom_site_fract_z
Cs1 0.1975 0.0619 0.1606
P1 0.1865 0.2065 0.4391
H1 0.0187 0.6646 0.9642
H2 0.0610 0.2049 0.8041
H3 0.2305 0.0151 0.9256
O1 0.0419 0.2216 0.3746
O2 0.1115 0.1618 0.5292
O3 0.1860 0.5852 0.4138
O4 0.2063 0.6605 0.9486
F1 0.0668 0.1476 0.7455
```

=====

3.
Computed, not measured: an optimized crystal structure of CsPHO3F at the GGA-PBE level of DFT.

The structure in CIF format:
```
data_CsPHO3F
_chemical_formula_sum 'Cs2 P2 H2 O6 F2'
_cell_length_a 5.6152
_cell_length_b 5.9626
_cell_length_c 7.8556
_cell_angle_alpha 108.12
_cell_angle_beta 100.50
_cell_angle_gamma 92.27
_symmetry_space_group_name_H-M 'P -1'
_symmetry_Int_Tables_number 2
_symmetry_space_group_name_Hall '-P 1'
loop_
_atom_site_label
_atom_site_fract_x
_atom_site_fract_y
_atom_site_fract_z
Cs1 0.0961 0.3543 0.2263
P1 0.3484 0.1377 0.7308
H1 0.4565 0.8135 0.5379
O1 0.1361 0.1859 0.8222
O2 0.3547 0.8614 0.6402
O3 0.3962 0.2742 0.6041
F1 0.4093 0.7955 0.1082
```

=====

| no. | VASP energy (eV/atom) |
| --- | --- |
| 1 | -2.4059 |
| 2 | -5.6417 |
| 3 | -5.9104 |